A:
{
  "formula": "Sr2FeCu",
  "functional": "PBE",
  "state": "optimized geometry",
  "magmom_total_mub_per_fu": 2.94,
  "space_group": "P4mm",
  "lattice": [[3.535, 0.000, 0.000], [0.000, 3.535, 0.000], [0.000, 0.000, 8.822]],
  "species": ["Sr", "Sr", "Fe", "Cu"],
  "fractional_positions": [[0.000, 0.000, 0.000], [0.500, 0.500, 0.410], [0.500, 0.500, 0.747], [0.000, 0.000, 0.659]]
}

B:
{
  "formula": "Sr2FeCu",
  "functional": "PBE",
  "state": "optimized geometry",
  "magmom_total_mub_per_fu": 2.18,
  "space_group": "I-42d",
  "lattice": [[-4.121, 4.121, 3.453], [4.121, -4.121, 3.453], [4.121, 4.121, -3.453]],
  "species": ["Sr", "Sr", "Sr", "Sr", "Fe", "Fe", "Cu", "Cu"],
  "fractional_positions": [[0.112, 0.625, 0.987], [0.375, 0.362, 0.487], [0.638, 0.125, 0.013], [0.875, 0.888, 0.513], [0.250, 0.750, 0.500], [0.500, 0.500, 0.000], [0.000, 0.000, 0.000], [0.750, 0.250, 0.500]]
}

A is preferred energetically. Next in line: 314 meV per atom higher.

A:
{
  "formula": "Sr2FeCu",
  "functional": "PBE",
  "state": "optimized geometry",
  "magmom_total_mub_per_fu": 2.32,
  "space_group": "Fm-3m",
  "lattice": [[0.000, 3.779, 3.779], [3.779, 0.000, 3.779], [3.779, 3.779, 0.000]],
  "species": ["Sr", "Sr", "Fe", "Cu"],
  "fractional_positions": [[0.250, 0.250, 0.250], [0.750, 0.750, 0.750], [0.000, 0.000, 0.000], [0.500, 0.500, 0.500]]
}

B:
{
  "formula": "Sr2FeCu",
  "functional": "PBE",
  "state": "optimized geometry",
  "magmom_total_mub_per_fu": 2.26,
  "space_group": "Amm2",
  "lattice": [[4.339, 0.000, 0.000], [0.000, 2.300, 5.735], [0.000, -2.300, 5.735]],
  "species": ["Sr", "Sr", "Fe", "Cu"],
  "fractional_positions": [[0.000, 0.000, 0.000], [0.500, 0.285, 0.285], [0.500, 0.597, 0.597], [0.000, 0.691, 0.691]]
}

C:
{
  "formula": "Sr2FeCu",
  "functional": "PBE",
  "state": "optimized geometry",
  "magmom_total_mub_per_fu": 2.41,
  "space_group": "C2/m",
  "lattice": [[3.860, -1.920, 0.000], [3.860, 1.920, 0.000], [-1.794, 0.000, 8.167]],
  "species": ["Sr", "Sr", "Fe", "Cu"],
  "fractional_positions": [[0.245, 0.245, 0.246], [0.755, 0.755, 0.754], [0.000, 0.000, 0.500], [0.500, 0.500, 0.000]]
}

B is preferred energetically. Next in line: 214 meV per atom higher.

A:
{
  "formula": "Sr2FeCu",
  "functional": "PBE",
  "state": "optimized geometry",
  "magmom_total_mub_per_fu": 2.26,
  "space_group": "I-4m2",
  "lattice": [[-2.231, 2.231, 5.432], [2.231, -2.231, 5.432], [2.231, 2.231, -5.432]],
  "species": ["Sr", "Sr", "Fe", "Cu"],
  "fractional_positions": [[0.000, 0.000, 0.000], [0.750, 0.250, 0.500], [0.500, 0.500, 0.000], [0.250, 0.750, 0.500]]
}

B:
{
  "formula": "Sr2FeCu",
  "functional": "PBE",
  "state": "optimized geometry",
  "magmom_total_mub_per_fu": 2.27,
  "space_group": "P4/mmm",
  "lattice": [[5.427, 0.000, 0.000], [0.000, 5.427, 0.000], [0.000, 0.000, 3.644]],
  "species": ["Sr", "Sr", "Fe", "Cu"],
  "fractional_positions": [[0.000, 0.500, 0.000], [0.500, 0.000, 0.000], [0.000, 0.000, 0.500], [0.500, 0.500, 0.500]]
}

C:
{
  "formula": "Sr2FeCu",
  "functional": "PBE",
  "state": "optimized geometry",
  "magmom_total_mub_per_fu": 2.64,
  "space_group": "F-43m",
  "lattice": [[0.000, 3.689, 3.689], [3.689, 0.000, 3.689], [3.689, 3.689, 0.000]],
  "species": ["Sr", "Sr", "Fe", "Cu"],
  "fractional_positions": [[0.000, 0.000, 0.000], [0.250, 0.250, 0.250], [0.500, 0.500, 0.500], [0.750, 0.750, 0.750]]
}

B is preferred energetically. Next in line: 150 meV per atom higher.

A:
{
  "formula": "SrFeCu",
  "functional": "PBE",
  "state": "optimized geometry",
  "magmom_total_mub_per_fu": 2.86,
  "space_group": "I4mm",
  "lattice": [[-1.700, 1.700, 5.459], [1.700, -1.700, 5.459], [1.700, 1.700, -5.459]],
  "species": ["Sr", "Fe", "Cu"],
  "fractional_positions": [[0.000, 0.000, 0.000], [0.719, 0.719, 0.000], [0.286, 0.286, 0.000]]
}

B:
{
  "formula": "SrFeCu",
  "functional": "PBE",
  "state": "optimized geometry",
  "magmom_total_mub_per_fu": 2.51,
  "space_group": "P-6m2",
  "lattice": [[4.152, 0.000, 0.000], [-2.076, 3.596, 0.000], [0.000, 0.000, 4.573]],
  "species": ["Sr", "Fe", "Cu"],
  "fractional_positions": [[0.000, 0.000, 0.000], [0.333, 0.667, 0.500], [0.667, 0.333, 0.500]]
}

B is preferred energetically. Next in line: 102 meV per atom higher.

A:
{
  "formula": "SrFeCu",
  "functional": "PBE",
  "state": "optimized geometry",
  "magmom_total_mub_per_fu": 3.22,
  "space_group": "F-43m",
  "lattice": [[0.000, 3.490, 3.490], [3.490, 0.000, 3.490], [3.490, 3.490, 0.000]],
  "species": ["Sr", "Fe", "Cu"],
  "fractional_positions": [[0.000, 0.000, 0.000], [0.250, 0.250, 0.250], [0.750, 0.750, 0.750]]
}

B:
{
  "formula": "SrFeCu",
  "functional": "PBE",
  "state": "optimized geometry",
  "magmom_total_mub_per_fu": 2.75,
  "space_group": "F-43m",
  "lattice": [[0.000, 3.322, 3.322], [3.322, 0.000, 3.322], [3.322, 3.322, 0.000]],
  "species": ["Sr", "Fe", "Cu"],
  "fractional_positions": [[0.000, 0.000, 0.000], [0.500, 0.500, 0.500], [0.250, 0.250, 0.250]]
}

B is preferred energetically. Next in line: 518 meV per atom higher.

A:
{
  "formula": "SrFe3Cu",
  "functional": "PBE",
  "state": "optimized geometry",
  "magmom_total_mub_per_fu": 8.74,
  "space_group": "Pm-3m",
  "lattice": [[4.624, 0.000, 0.000], [0.000, 4.624, 0.000], [0.000, 0.000, 4.624]],
  "species": ["Sr", "Fe", "Fe", "Fe", "Cu"],
  "fractional_positions": [[0.000, 0.000, 0.000], [0.000, 0.500, 0.500], [0.500, 0.000, 0.500], [0.500, 0.500, 0.000], [0.500, 0.500, 0.500]]
}

B:
{
  "formula": "SrFe3Cu",
  "functional": "PBE",
  "state": "optimized geometry",
  "magmom_total_mub_per_fu": 7.36,
  "space_group": "Pm-3m",
  "lattice": [[4.714, 0.000, 0.000], [0.000, 4.714, 0.000], [0.000, 0.000, 4.714]],
  "species": ["Sr", "Fe", "Fe", "Fe", "Cu"],
  "fractional_positions": [[0.000, 0.000, 0.000], [0.000, 0.000, 0.500], [0.000, 0.500, 0.000], [0.500, 0.000, 0.000], [0.500, 0.500, 0.500]]
}

A is preferred energetically. Next in line: 1515 meV per atom higher.

A:
{
  "formula": "SrFeCu3",
  "functional": "PBE",
  "state": "optimized geometry",
  "magmom_total_mub_per_fu": 2.62,
  "space_group": "Pm-3m",
  "lattice": [[4.638, 0.000, 0.000], [0.000, 4.638, 0.000], [0.000, 0.000, 4.638]],
  "species": ["Sr", "Fe", "Cu", "Cu", "Cu"],
  "fractional_positions": [[0.000, 0.000, 0.000], [0.500, 0.500, 0.500], [0.000, 0.500, 0.500], [0.500, 0.000, 0.500], [0.500, 0.500, 0.000]]
}

B:
{
  "formula": "SrFeCu3",
  "functional": "PBE",
  "state": "optimized geometry",
  "magmom_total_mub_per_fu": 0.26,
  "space_group": "Pm-3m",
  "lattice": [[5.097, 0.000, 0.000], [0.000, 5.097, 0.000], [0.000, 0.000, 5.097]],
  "species": ["Sr", "Fe", "Cu", "Cu", "Cu"],
  "fractional_positions": [[0.000, 0.000, 0.000], [0.500, 0.500, 0.500], [0.000, 0.000, 0.500], [0.000, 0.500, 0.000], [0.500, 0.000, 0.000]]
}

A is preferred energetically. Next in line: 1764 meV per atom higher.

A:
{
  "formula": "TaFeCu2",
  "functional": "PBE",
  "state": "optimized geometry",
  "magmom_total_mub_per_fu": 1.14,
  "space_group": "P4mm",
  "lattice": [[3.103, 0.000, 0.000], [0.000, 3.103, 0.000], [0.000, 0.000, 5.582]],
  "species": ["Ta", "Fe", "Cu", "Cu"],
  "fractional_positions": [[0.000, 0.000, 0.000], [0.500, 0.500, 0.766], [0.000, 0.000, 0.510], [0.500, 0.500, 0.294]]
}

B:
{
  "formula": "TaFeCu2",
  "functional": "PBE",
  "state": "optimized geometry",
  "magmom_total_mub_per_fu": 2.63,
  "space_group": "R-3m",
  "lattice": [[1.356, 0.783, 8.776], [-1.356, 0.783, 8.776], [0.000, -1.566, 8.776]],
  "species": ["Ta", "Fe", "Cu", "Cu"],
  "fractional_positions": [[0.000, 0.000, 0.000], [0.500, 0.500, 0.500], [0.245, 0.245, 0.245], [0.755, 0.755, 0.755]]
}

C:
{
  "formula": "TaFeCu2",
  "functional": "PBE",
  "state": "optimized geometry",
  "magmom_total_mub_per_fu": 1.47,
  "space_group": "Cmmm",
  "lattice": [[2.526, -3.990, 0.000], [2.526, 3.990, 0.000], [0.000, 0.000, 2.678]],
  "species": ["Ta", "Fe", "Cu", "Cu"],
  "fractional_positions": [[0.000, 0.000, 0.000], [0.500, 0.500, 0.000], [0.000, 0.500, 0.500], [0.500, 0.000, 0.500]]
}

D:
{
  "formula": "TaFeCu2",
  "functional": "PBE",
  "state": "optimized geometry",
  "magmom_total_mub_per_fu": 2.01,
  "space_group": "Pmmm",
  "lattice": [[2.690, 0.000, 0.000], [0.000, 3.692, 0.000], [0.000, 0.000, 5.444]],
  "species": ["Ta", "Fe", "Cu", "Cu"],
  "fractional_positions": [[0.000, 0.000, 0.000], [0.000, 0.000, 0.500], [0.500, 0.500, 0.271], [0.500, 0.500, 0.729]]
}

A is preferred energetically. Next in line: 77 meV per atom higher.

A:
{
  "formula": "TaFeCu2",
  "functional": "PBE",
  "state": "optimized geometry",
  "magmom_total_mub_per_fu": 0.00,
  "space_group": "Fm-3m",
  "lattice": [[0.000, 2.975, 2.975], [2.975, 0.000, 2.975], [2.975, 2.975, 0.000]],
  "species": ["Ta", "Fe", "Cu", "Cu"],
  "fractional_positions": [[0.000, 0.000, 0.000], [0.500, 0.500, 0.500], [0.250, 0.250, 0.250], [0.750, 0.750, 0.750]]
}

B:
{
  "formula": "TaFeCu2",
  "functional": "PBE",
  "state": "optimized geometry",
  "magmom_total_mub_per_fu": 2.67,
  "space_group": "P4/mmm",
  "lattice": [[2.699, 0.000, 0.000], [0.000, 2.699, 0.000], [0.000, 0.000, 7.478]],
  "species": ["Ta", "Fe", "Cu", "Cu"],
  "fractional_positions": [[0.000, 0.000, 0.000], [0.000, 0.000, 0.500], [0.500, 0.500, 0.270], [0.500, 0.500, 0.730]]
}

B is preferred energetically. Next in line: 161 meV per atom higher.

A:
{
  "formula": "TaFeCu2",
  "functional": "PBE",
  "state": "optimized geometry",
  "magmom_total_mub_per_fu": 1.76,
  "space_group": "Cm",
  "lattice": [[4.345, -1.357, 0.000], [4.345, 1.357, 0.000], [-0.879, 0.000, 4.588]],
  "species": ["Ta", "Fe", "Cu", "Cu"],
  "fractional_positions": [[0.000, 0.000, 0.000], [0.759, 0.759, 0.242], [0.243, 0.243, 0.717], [0.497, 0.497, 0.498]]
}

B:
{
  "formula": "TaFeCu2",
  "functional": "PBE",
  "state": "optimized geometry",
  "magmom_total_mub_per_fu": 0.00,
  "space_group": "Immm",
  "lattice": [[-1.764, 1.770, 4.138], [1.764, -1.770, 4.138], [1.764, 1.770, -4.138]],
  "species": ["Ta", "Fe", "Cu", "Cu"],
  "fractional_positions": [[0.000, 0.000, 0.000], [0.500, 0.500, 0.000], [0.250, 0.750, 0.500], [0.750, 0.250, 0.500]]
}

C:
{
  "formula": "TaFeCu2",
  "functional": "PBE",
  "state": "optimized geometry",
  "magmom_total_mub_per_fu": 1.77,
  "space_group": "P2/m",
  "lattice": [[2.628, 0.000, 0.000], [0.000, 4.297, 0.000], [-1.135, 0.000, 4.770]],
  "species": ["Ta", "Fe", "Cu", "Cu"],
  "fractional_positions": [[0.000, 0.000, 0.000], [0.500, 0.000, 0.500], [0.332, 0.500, 0.734], [0.668, 0.500, 0.266]]
}

D:
{
  "formula": "TaFeCu2",
  "functional": "PBE",
  "state": "optimized geometry",
  "magmom_total_mub_per_fu": 1.53,
  "space_group": "I-42d",
  "lattice": [[-3.435, 3.435, 2.426], [3.435, -3.435, 2.426], [3.435, 3.435, -2.426]],
  "species": ["Ta", "Ta", "Fe", "Fe", "Cu", "Cu", "Cu", "Cu"],
  "fractional_positions": [[0.000, 0.000, 0.000], [0.750, 0.250, 0.500], [0.250, 0.750, 0.500], [0.500, 0.500, 0.000], [0.151, 0.625, 0.026], [0.375, 0.401, 0.526], [0.599, 0.125, 0.974], [0.875, 0.849, 0.474]]
}

B is preferred energetically. Next in line: 125 meV per atom higher.

A:
{
  "formula": "Ta3FeCu",
  "functional": "PBE",
  "state": "optimized geometry",
  "magmom_total_mub_per_fu": 0.00,
  "space_group": "Pm-3m",
  "lattice": [[4.572, 0.000, 0.000], [0.000, 4.572, 0.000], [0.000, 0.000, 4.572]],
  "species": ["Ta", "Ta", "Ta", "Fe", "Cu"],
  "fractional_positions": [[0.000, 0.000, 0.500], [0.000, 0.500, 0.000], [0.500, 0.000, 0.000], [0.500, 0.500, 0.500], [0.000, 0.000, 0.000]]
}

B:
{
  "formula": "Ta3FeCu",
  "functional": "PBE",
  "state": "optimized geometry",
  "magmom_total_mub_per_fu": 0.00,
  "space_group": "Pm-3m",
  "lattice": [[4.546, 0.000, 0.000], [0.000, 4.546, 0.000], [0.000, 0.000, 4.546]],
  "species": ["Ta", "Ta", "Ta", "Fe", "Cu"],
  "fractional_positions": [[0.000, 0.000, 0.500], [0.000, 0.500, 0.000], [0.500, 0.000, 0.000], [0.000, 0.000, 0.000], [0.500, 0.500, 0.500]]
}

B is preferred energetically. Next in line: 717 meV per atom higher.

A:
{
  "formula": "TaFe3Cu",
  "functional": "PBE",
  "state": "optimized geometry",
  "magmom_total_mub_per_fu": 7.15,
  "space_group": "Pm-3m",
  "lattice": [[4.291, 0.000, 0.000], [0.000, 4.291, 0.000], [0.000, 0.000, 4.291]],
  "species": ["Ta", "Fe", "Fe", "Fe", "Cu"],
  "fractional_positions": [[0.000, 0.000, 0.000], [0.000, 0.500, 0.500], [0.500, 0.000, 0.500], [0.500, 0.500, 0.000], [0.500, 0.500, 0.500]]
}

B:
{
  "formula": "TaFe3Cu",
  "functional": "PBE",
  "state": "optimized geometry",
  "magmom_total_mub_per_fu": 4.85,
  "space_group": "Pm-3m",
  "lattice": [[4.496, 0.000, 0.000], [0.000, 4.496, 0.000], [0.000, 0.000, 4.496]],
  "species": ["Ta", "Fe", "Fe", "Fe", "Cu"],
  "fractional_positions": [[0.000, 0.000, 0.000], [0.000, 0.000, 0.500], [0.000, 0.500, 0.000], [0.500, 0.000, 0.000], [0.500, 0.500, 0.500]]
}

A is preferred energetically. Next in line: 446 meV per atom higher.